Compound: KTeAu2
Source: Alexandria
Functional: PBE
Structure: optimized geometry

## Properties
As for the uncorrected formation energy: 0.249 eV per atom. The calculation puts the total energy at -29.39 eV for the cell shown.

The structure in CIF format:
```
data_KTeAu2
_chemical_formula_sum 'K3 Te3 Au6'
_cell_length_a 3.1572
_cell_length_b 3.1572
_cell_length_c 33.7566
_cell_angle_alpha 90.00
_cell_angle_beta 90.00
_cell_angle_gamma 120.00
_space_group_name_H-M_alt 'R -3 m'
_space_group_IT_number 166
_space_group_name_Hall '-R 3 2"'
loop_
_atom_site_label
_atom_site_type_symbol
_atom_site_fract_x
_atom_site_fract_y
_atom_site_fract_z
K1 K 0.0000 0.0000 0.0000
Te1 Te 0.0000 0.0000 0.5000
Au1 Au 0.0000 0.0000 0.2532
```